Entry 1:
Below is a relaxed Ta4OsBr crystal, with properties calculated at the PBE level.

abc: 5.433 5.433 5.433
angles: 60.00 60.00 60.00
Positions (direct):
Ta1 0.876 0.375 0.375
Ta2 0.375 0.876 0.375
Ta3 0.375 0.375 0.876
Ta4 0.375 0.375 0.375
Br1 0.750 0.750 0.750
Os1 0.000 0.000 0.000

- Calculated volume: 18.90 Å³ per atom
- Electronic total energy: -9.134 eV/atom
- ρ: 14.56 g/cm3
- M_tot: 0.00 μB per atom

=====

Entry 2:
Below is a relaxed YIn2As crystal, with properties calculated at the PBE level.

abc: 5.230 4.286 4.286
angles: 90.00 90.00 90.00
Positions (direct):
In1 0.000 0.500 0.500
In2 0.000 0.000 0.000
As1 0.500 0.000 0.500
Y1 0.500 0.500 0.000

- Energy of formation from the pure elements: -490.3 meV per atom
- Calculated volume: 24.02 Å³ per atom
- ρ: 6.80 g/cm3
- M_tot: 0.00 μB per atom

=====

Entry 3:
Below is a relaxed Ti3Tl2Br9 crystal, with properties calculated at the PBE level.

abc: 10.100 10.403 10.403
angles: 116.35 102.56 102.56
Positions (direct):
Br1 0.807 0.114 0.916
Br2 0.172 0.689 0.689
Br3 0.487 0.600 0.810
Br4 0.807 0.916 0.114
Br5 0.513 0.400 0.190
Br6 0.206 0.274 0.274
Br7 0.174 0.897 0.500
Br8 0.487 0.810 0.600
Br9 0.193 0.084 0.886
Br10 0.500 0.800 0.200
Br11 0.193 0.886 0.084
Br12 0.794 0.726 0.726
Br13 0.826 0.103 0.500
Br14 0.828 0.311 0.311
Br15 0.826 0.500 0.103
Br16 0.174 0.500 0.897
Br17 0.513 0.190 0.400
Br18 0.500 0.200 0.800
Ti1 0.356 0.946 0.773
Ti2 0.644 0.054 0.227
Ti3 0.631 0.864 0.864
Ti4 0.369 0.136 0.136
Ti5 0.644 0.227 0.054
Ti6 0.356 0.773 0.946
Tl1 0.827 0.439 0.767
Tl2 0.173 0.561 0.233
Tl3 0.173 0.233 0.561
Tl4 0.827 0.767 0.439

- Calculated volume: 31.87 Å³ per atom
- Electronic total energy: -4.137 eV/atom
- ρ: 4.73 g/cm3
- M_tot: 0.14 μB per atom

=====

Entry 4:
Below is a relaxed SnHg4Pb10 crystal, with properties calculated at the PBE level.

abc: 7.383 8.972 8.972
angles: 80.25 65.70 65.70
Positions (direct):
Hg1 0.801 0.600 0.799
Hg2 0.199 0.400 0.201
Hg3 0.600 0.201 0.600
Hg4 0.400 0.799 0.400
Pb1 0.750 0.500 0.500
Pb2 0.051 0.102 0.303
Pb3 0.545 0.102 0.303
Pb4 0.250 0.500 0.500
Pb5 0.455 0.898 0.697
Pb6 0.647 0.303 0.898
Pb7 0.847 0.697 0.102
Pb8 0.949 0.898 0.697
Pb9 0.353 0.697 0.102
Pb10 0.153 0.303 0.898
Sn1 0.000 0.000 0.000

- Energy of formation from the pure elements: 75.0 meV per atom
- Calculated volume: 32.91 Å³ per atom
- ρ: 10.07 g/cm3
- M_tot: 0.00 μB per atom

=====

Entry 5:
Below is a relaxed KBrO2 crystal, with properties calculated at the PBE level.

abc: 4.329 4.651 9.026
angles: 87.38 78.00 86.47
Positions (direct):
Br1 0.790 0.533 0.227
Br2 0.682 0.542 0.664
O1 0.790 0.929 0.190
O2 0.620 0.900 0.631
O3 0.629 0.505 0.855
O4 0.073 0.479 0.597
K1 0.364 0.011 0.990
K2 0.218 0.998 0.419

- Calculated volume: 22.16 Å³ per atom
- ρ: 2.83 g/cm3
- Excess energy over the best structure of this formula in the dataset: 0.086 eV per atom
- M_tot: 0.00 μB per atom

=====

Entry 6:
Below is a relaxed PtW2Se crystal, with properties calculated at the PBE level.

abc: 4.146 2.876 5.623
angles: 76.89 90.00 90.00
Positions (direct):
W1 0.000 0.667 0.497
W2 0.000 0.833 0.003
Se1 0.500 0.750 0.750
Pt1 0.500 0.250 0.250

- Calculated volume: 16.32 Å³ per atom
- Electronic total energy: -8.493 eV/atom
- ρ: 16.32 g/cm3
- M_tot: 0.00 μB per atom

=====

Entry 7:
Below is a relaxed Sr2LiRe crystal, with properties calculated at the PBE level.

abc: 5.436 3.220 5.963
angles: 89.86 90.00 90.00
Positions (direct):
Sr1 0.500 0.127 0.310
Sr2 0.000 0.123 0.921
Li1 0.000 0.625 0.487
Re1 0.500 0.625 0.782

- Energy of formation from the pure elements: 838.6 meV per atom
- Calculated volume: 26.09 Å³ per atom
- ρ: 5.86 g/cm3
- Excess energy over the best structure of this formula in the dataset: 0.062 eV per atom
- M_tot: 0.00 μB per atom

=====

Entry 8:
Below is a relaxed Ac5Pr2Ho2 crystal, with properties calculated at the PBE level.

abc: 6.582 9.408 8.598
angles: 136.99 97.51 89.94
Positions (direct):
Ac1 0.000 0.000 0.000
Ac2 0.774 0.118 0.669
Ac3 0.226 0.882 0.331
Ac4 0.120 0.446 0.672
Ac5 0.880 0.554 0.328
Pr1 0.444 0.778 0.670
Pr2 0.556 0.222 0.330
Ho1 0.337 0.333 0.004
Ho2 0.663 0.667 0.996

- Energy of formation from the pure elements: 47.9 meV per atom
- Calculated volume: 39.61 Å³ per atom
- ρ: 8.14 g/cm3
- M_tot: 0.00 μB per atom

=====

Entry 9:
Below is a relaxed NiHgPb2 crystal, with properties calculated at the PBE level.

abc: 3.704 3.704 8.950
angles: 78.06 78.06 60.00
Positions (direct):
Ni1 0.667 0.667 0.998
Hg1 0.499 0.499 0.502
Pb1 0.064 0.064 0.809
Pb2 0.270 0.270 0.190

- Energy of formation from the pure elements: 134.4 meV per atom
- Calculated volume: 25.81 Å³ per atom
- ρ: 10.83 g/cm3
- M_tot: 0.00 μB per atom

=====

Entry 10:
Below is a relaxed TlSbPF crystal, with properties calculated at the PBE level.

abc: 3.811 3.811 26.752
angles: 90.00 90.00 120.00
Positions (direct):
P1 0.000 0.000 0.734
P2 0.333 0.667 0.401
P3 0.667 0.333 0.068
Sb1 0.333 0.667 0.787
Sb2 0.667 0.333 0.454
Sb3 0.000 0.000 0.120
Tl1 0.000 0.000 0.588
Tl2 0.333 0.667 0.255
Tl3 0.667 0.333 0.921
F1 0.333 0.667 0.630
F2 0.000 0.000 0.964
F3 0.667 0.333 0.297

- Calculated volume: 28.04 Å³ per atom
- ρ: 5.57 g/cm3
- Excess energy over the best structure of this formula in the dataset: 0.039 eV per atom
- M_tot: 0.00 μB per atom

=====

Entry 11:
Below is a relaxed PuTh2Sn3 crystal, with properties calculated at the PBE level.

abc: 4.517 6.373 7.778
angles: 114.18 106.88 90.00
Positions (direct):
Th1 0.332 0.832 0.663
Th2 0.668 0.168 0.337
Pu1 0.000 0.500 0.000
Sn1 0.338 0.338 0.676
Sn2 0.662 0.662 0.324
Sn3 0.000 0.000 0.000

- Energy of formation from the pure elements: -303.4 meV per atom
- Calculated volume: 32.27 Å³ per atom
- ρ: 9.13 g/cm3
- M_tot: 0.84 μB per atom

=====

Entry 12:
Below is a relaxed Rb2SrAsI6 crystal, with properties calculated at the PBE level.

abc: 8.920 8.920 8.767
angles: 59.42 59.42 90.00
Positions (direct):
I1 0.266 0.266 0.467
I2 0.256 0.256 0.000
I3 0.744 0.744 0.000
I4 0.744 0.256 0.000
I5 0.734 0.734 0.533
I6 0.256 0.744 0.000
As1 0.500 0.500 0.000
Rb1 0.750 0.250 0.500
Rb2 0.250 0.750 0.500
Sr1 0.000 0.000 0.000

- Calculated volume: 48.45 Å³ per atom
- Electronic total energy: -2.723 eV/atom
- ρ: 3.75 g/cm3
- M_tot: 0.10 μB per atom